Here is a relaxed structure of CeIr2Rh3 from Alexandria via LeMat-Bulk. Energies are from GGA-PBE.

Its mass density is 14.4 g/cm3. The value obtained for the total magnetization is 0.00 μB/cell. The value obtained for the energy of formation is -366 meV per atom.

Structure (POSCAR):
```
CeIr2Rh3
1.0
2.813 1.624 6.995
-2.813 1.624 6.995
0.000 -3.248 6.995
Ce Ir Rh
2 4 6
Direct
0.219 0.219 0.219
0.781 0.781 0.781
0.000 0.000 0.000
0.000 0.500 0.500
0.500 0.000 0.500
0.500 0.500 0.000
0.233 0.723 0.723
0.277 0.277 0.767
0.277 0.767 0.277
0.723 0.233 0.723
0.723 0.723 0.233
0.767 0.277 0.277
```